Entry 1:
# Mn2FeOsN PBE-GGA relaxed
# - Raw total energy: -9.25 eV/atom
data_Mn2FeOsN
_chemical_formula_sum 'Mn2 Fe1 Os1 N1'
_cell_length_a 3.844
_cell_length_b 3.844
_cell_length_c 3.785
_cell_angle_alpha 90.00
_cell_angle_beta 90.00
_cell_angle_gamma 90.00
_space_group_name_H-M_alt 'P 4/m m m'
_space_group_IT_number 123
_space_group_name_Hall '-P 4 2'
loop_
_atom_site_label
_atom_site_type_symbol
_atom_site_fract_x
_atom_site_fract_y
_atom_site_fract_z
Mn1 Mn 0.000 0.500 0.000
Fe1 Fe 0.000 0.000 0.500
Os1 Os 0.500 0.500 0.500
N1 N 0.000 0.000 0.000

=====

Entry 2:
# Mn2FePN PBE-GGA relaxed
# - Raw total energy: -8.31 eV/atom
data_Mn2FePN
_chemical_formula_sum 'Mn2 Fe1 P1 N1'
_cell_length_a 3.473
_cell_length_b 3.473
_cell_length_c 4.896
_cell_angle_alpha 90.00
_cell_angle_beta 90.00
_cell_angle_gamma 90.00
_space_group_name_H-M_alt 'P 4 m m'
_space_group_IT_number 99
_space_group_name_Hall 'P 4 -2'
loop_
_atom_site_label
_atom_site_type_symbol
_atom_site_fract_x
_atom_site_fract_y
_atom_site_fract_z
Mn1 Mn 0.000 0.500 0.000
Fe1 Fe 0.000 0.000 0.561
P1 P 0.500 0.500 0.685
N1 N 0.000 0.000 0.167

=====

Entry 3:
# Pa2MnFeN5 PBE-GGA relaxed
# - Raw total energy: -9.64 eV/atom
data_Pa2MnFeN5
_chemical_formula_sum 'Pa8 Mn4 Fe4 N20'
_cell_length_a 3.356
_cell_length_b 13.342
_cell_length_c 8.881
_cell_angle_alpha 90.00
_cell_angle_beta 90.00
_cell_angle_gamma 90.00
_space_group_name_H-M_alt 'C m c 21'
_space_group_IT_number 36
_space_group_name_Hall 'C 2c -2'
loop_
_atom_site_label
_atom_site_type_symbol
_atom_site_fract_x
_atom_site_fract_y
_atom_site_fract_z
Pa1 Pa 0.000 0.120 0.000
Pa2 Pa 0.000 0.130 0.397
Mn1 Mn 0.000 0.211 0.705
Fe1 Fe 0.000 0.420 0.172
N1 N 0.000 0.046 0.735
N2 N 0.000 0.298 0.068
N3 N 0.000 0.304 0.346
N4 N 0.000 0.355 0.701
N5 N 0.000 0.490 0.980

=====

Entry 4:
# MnFe2PdN PBE-GGA relaxed
# - Raw total energy: -7.88 eV/atom
data_MnFe2PdN
_chemical_formula_sum 'Mn1 Fe2 Pd1 N1'
_cell_length_a 3.767
_cell_length_b 3.767
_cell_length_c 3.772
_cell_angle_alpha 90.00
_cell_angle_beta 90.00
_cell_angle_gamma 90.00
_space_group_name_H-M_alt 'P 4/m m m'
_space_group_IT_number 123
_space_group_name_Hall '-P 4 2'
loop_
_atom_site_label
_atom_site_type_symbol
_atom_site_fract_x
_atom_site_fract_y
_atom_site_fract_z
Mn1 Mn 0.000 0.000 0.000
Fe1 Fe 0.000 0.500 0.500
Pd1 Pd 0.500 0.500 0.000
N1 N 0.000 0.000 0.500

=====

Entry 5:
# MnFePd2N PBE-GGA relaxed
# - Raw total energy: -5.25 eV/atom
data_MnFePd2N
_chemical_formula_sum 'Mn1 Fe1 Pd2 N1'
_cell_length_a 4.591
_cell_length_b 4.591
_cell_length_c 4.120
_cell_angle_alpha 90.00
_cell_angle_beta 90.00
_cell_angle_gamma 90.00
_space_group_name_H-M_alt 'P 4/m m m'
_space_group_IT_number 123
_space_group_name_Hall '-P 4 2'
loop_
_atom_site_label
_atom_site_type_symbol
_atom_site_fract_x
_atom_site_fract_y
_atom_site_fract_z
Mn1 Mn 0.000 0.000 0.000
Fe1 Fe 0.000 0.000 0.500
Pd1 Pd 0.000 0.500 0.000
N1 N 0.500 0.500 0.500

=====

Entry 6:
# PmMn2FeN4 PBE-GGA relaxed
# - Raw total energy: -8.48 eV/atom
data_PmMn2FeN4
_chemical_formula_sum 'Pm4 Mn8 Fe4 N16'
_cell_length_a 3.298
_cell_length_b 11.854
_cell_length_c 9.176
_cell_angle_alpha 90.00
_cell_angle_beta 90.00
_cell_angle_gamma 90.00
_space_group_name_H-M_alt 'C m c m'
_space_group_IT_number 63
_space_group_name_Hall '-C 2c 2'
loop_
_atom_site_label
_atom_site_type_symbol
_atom_site_fract_x
_atom_site_fract_y
_atom_site_fract_z
Pm1 Pm 0.000 0.073 0.250
Mn1 Mn 0.000 0.403 0.040
Fe1 Fe 0.000 0.206 0.750
N1 N 0.000 0.000 0.000
N2 N 0.000 0.312 0.606
N3 N 0.000 0.392 0.250

=====

Entry 7:
# MnFe2PtN PBE-GGA relaxed
# - Raw total energy: -8.31 eV/atom
data_MnFe2PtN
_chemical_formula_sum 'Mn1 Fe2 Pt1 N1'
_cell_length_a 3.861
_cell_length_b 3.861
_cell_length_c 3.928
_cell_angle_alpha 90.00
_cell_angle_beta 90.00
_cell_angle_gamma 90.00
_space_group_name_H-M_alt 'P 4/m m m'
_space_group_IT_number 123
_space_group_name_Hall '-P 4 2'
loop_
_atom_site_label
_atom_site_type_symbol
_atom_site_fract_x
_atom_site_fract_y
_atom_site_fract_z
Mn1 Mn 0.000 0.000 0.000
Fe1 Fe 0.000 0.500 0.500
Pt1 Pt 0.500 0.500 0.000
N1 N 0.000 0.000 0.500

=====

Entry 8:
# Mn2FePtN PBE-GGA relaxed
# - Raw total energy: -8.36 eV/atom
data_Mn2FePtN
_chemical_formula_sum 'Mn2 Fe1 Pt1 N1'
_cell_length_a 3.775
_cell_length_b 3.775
_cell_length_c 3.787
_cell_angle_alpha 90.00
_cell_angle_beta 90.00
_cell_angle_gamma 90.00
_space_group_name_H-M_alt 'P 4/m m m'
_space_group_IT_number 123
_space_group_name_Hall '-P 4 2'
loop_
_atom_site_label
_atom_site_type_symbol
_atom_site_fract_x
_atom_site_fract_y
_atom_site_fract_z
Mn1 Mn 0.000 0.500 0.000
Fe1 Fe 0.000 0.000 0.500
Pt1 Pt 0.500 0.500 0.500
N1 N 0.000 0.000 0.000

=====

Entry 9:
# MnFeRh2N PBE-GGA relaxed
# - Raw total energy: -8.07 eV/atom
data_MnFeRh2N
_chemical_formula_sum 'Mn1 Fe1 Rh2 N1'
_cell_length_a 4.106
_cell_length_b 4.106
_cell_length_c 3.757
_cell_angle_alpha 90.00
_cell_angle_beta 90.00
_cell_angle_gamma 90.00
_space_group_name_H-M_alt 'P 4/m m m'
_space_group_IT_number 123
_space_group_name_Hall '-P 4 2'
loop_
_atom_site_label
_atom_site_type_symbol
_atom_site_fract_x
_atom_site_fract_y
_atom_site_fract_z
Mn1 Mn 0.000 0.000 0.000
Fe1 Fe 0.500 0.500 0.000
Rh1 Rh 0.000 0.500 0.500
N1 N 0.500 0.500 0.500

=====

Entry 10:
# MnFe2RhN PBE-GGA relaxed
# - Offset from the most stable computed form: 0.0091 eV/atom
data_MnFe2RhN
_chemical_formula_sum 'Mn1 Fe2 Rh1 N1'
_cell_length_a 3.746
_cell_length_b 3.746
_cell_length_c 3.753
_cell_angle_alpha 90.00
_cell_angle_beta 90.00
_cell_angle_gamma 90.00
_space_group_name_H-M_alt 'P 4/m m m'
_space_group_IT_number 123
_space_group_name_Hall '-P 4 2'
loop_
_atom_site_label
_atom_site_type_symbol
_atom_site_fract_x
_atom_site_fract_y
_atom_site_fract_z
Mn1 Mn 0.000 0.000 0.000
Fe1 Fe 0.000 0.500 0.500
Rh1 Rh 0.500 0.500 0.000
N1 N 0.000 0.000 0.500

=====

Entry 11:
# MnFe2RhN PBE-GGA relaxed
# - Offset from the most stable computed form: 0.0000 eV/atom
data_MnFe2RhN
_chemical_formula_sum 'Mn1 Fe2 Rh1 N1'
_cell_length_a 3.781
_cell_length_b 3.781
_cell_length_c 4.162
_cell_angle_alpha 90.00
_cell_angle_beta 90.00
_cell_angle_gamma 90.00
_space_group_name_H-M_alt 'P 4/m m m'
_space_group_IT_number 123
_space_group_name_Hall '-P 4 2'
loop_
_atom_site_label
_atom_site_type_symbol
_atom_site_fract_x
_atom_site_fract_y
_atom_site_fract_z
Mn1 Mn 0.000 0.000 0.000
Fe1 Fe 0.000 0.500 0.500
Rh1 Rh 0.500 0.500 0.000
N1 N 0.500 0.500 0.500

=====

Entry 12:
# MnFeS2N PBE-GGA relaxed
# - Offset from the most stable computed form: 0.2885 eV/atom
data_MnFeS2N
_chemical_formula_sum 'Mn1 Fe1 S2 N1'
_cell_length_a 4.563
_cell_length_b 4.563
_cell_length_c 3.350
_cell_angle_alpha 90.00
_cell_angle_beta 90.00
_cell_angle_gamma 90.00
_space_group_name_H-M_alt 'P 4/m m m'
_space_group_IT_number 123
_space_group_name_Hall '-P 4 2'
loop_
_atom_site_label
_atom_site_type_symbol
_atom_site_fract_x
_atom_site_fract_y
_atom_site_fract_z
Mn1 Mn 0.000 0.000 0.000
Fe1 Fe 0.500 0.500 0.500
S1 S 0.000 0.500 0.500
N1 N 0.500 0.500 0.000

=====

Entry 13:
# MnFeS2N PBE-GGA relaxed
# - Offset from the most stable computed form: 0.0000 eV/atom
data_MnFeS2N
_chemical_formula_sum 'Mn1 Fe1 S2 N1'
_cell_length_a 4.698
_cell_length_b 4.698
_cell_length_c 3.434
_cell_angle_alpha 90.00
_cell_angle_beta 90.00
_cell_angle_gamma 90.00
_space_group_name_H-M_alt 'P 4/m m m'
_space_group_IT_number 123
_space_group_name_Hall '-P 4 2'
loop_
_atom_site_label
_atom_site_type_symbol
_atom_site_fract_x
_atom_site_fract_y
_atom_site_fract_z
Mn1 Mn 0.000 0.000 0.000
Fe1 Fe 0.500 0.500 0.500
S1 S 0.000 0.500 0.000
N1 N 0.000 0.000 0.500

=====

Entry 14:
# MnFeSN2 PBE-GGA relaxed
# - Offset from the most stable computed form: 0.0000 eV/atom
data_MnFeSN2
_chemical_formula_sum 'Mn1 Fe1 S1 N2'
_cell_length_a 3.560
_cell_length_b 3.560
_cell_length_c 5.074
_cell_angle_alpha 90.00
_cell_angle_beta 90.00
_cell_angle_gamma 90.00
_space_group_name_H-M_alt 'P 4/m m m'
_space_group_IT_number 123
_space_group_name_Hall '-P 4 2'
loop_
_atom_site_label
_atom_site_type_symbol
_atom_site_fract_x
_atom_site_fract_y
_atom_site_fract_z
Mn1 Mn 0.000 0.000 0.000
Fe1 Fe 0.500 0.500 0.500
S1 S 0.500 0.500 0.000
N1 N 0.000 0.500 0.500

=====

Entry 15:
# MnFeSN2 PBE-GGA relaxed
# - Offset from the most stable computed form: 0.0361 eV/atom
data_MnFeSN2
_chemical_formula_sum 'Mn1 Fe1 S1 N2'
_cell_length_a 3.540
_cell_length_b 3.540
_cell_length_c 5.087
_cell_angle_alpha 90.00
_cell_angle_beta 90.00
_cell_angle_gamma 90.00
_space_group_name_H-M_alt 'P 4/m m m'
_space_group_IT_number 123
_space_group_name_Hall '-P 4 2'
loop_
_atom_site_label
_atom_site_type_symbol
_atom_site_fract_x
_atom_site_fract_y
_atom_site_fract_z
Mn1 Mn 0.000 0.000 0.000
Fe1 Fe 0.500 0.500 0.500
S1 S 0.000 0.000 0.500
N1 N 0.000 0.500 0.000

=====

Entry 16:
# Mn2FeSbN PBE-GGA relaxed
# - Raw total energy: -7.87 eV/atom
data_Mn2FeSbN
_chemical_formula_sum 'Mn2 Fe1 Sb1 N1'
_cell_length_a 3.974
_cell_length_b 3.974
_cell_length_c 3.972
_cell_angle_alpha 90.00
_cell_angle_beta 90.00
_cell_angle_gamma 90.00
_space_group_name_H-M_alt 'P 4/m m m'
_space_group_IT_number 123
_space_group_name_Hall '-P 4 2'
loop_
_atom_site_label
_atom_site_type_symbol
_atom_site_fract_x
_atom_site_fract_y
_atom_site_fract_z
Mn1 Mn 0.000 0.500 0.000
Fe1 Fe 0.000 0.000 0.500
Sb1 Sb 0.500 0.500 0.500
N1 N 0.000 0.000 0.000

=====

Entry 17:
# MnFeSb2N PBE-GGA relaxed
# - Raw total energy: -6.34 eV/atom
data_MnFeSb2N
_chemical_formula_sum 'Mn1 Fe1 Sb2 N1'
_cell_length_a 4.795
_cell_length_b 4.795
_cell_length_c 3.744
_cell_angle_alpha 90.00
_cell_angle_beta 90.00
_cell_angle_gamma 90.00
_space_group_name_H-M_alt 'P 4/m m m'
_space_group_IT_number 123
_space_group_name_Hall '-P 4 2'
loop_
_atom_site_label
_atom_site_type_symbol
_atom_site_fract_x
_atom_site_fract_y
_atom_site_fract_z
Mn1 Mn 0.000 0.000 0.000
Fe1 Fe 0.500 0.500 0.000
Sb1 Sb 0.000 0.500 0.500
N1 N 0.000 0.000 0.500

=====

Entry 18:
# MnFe2SnN PBE-GGA relaxed
# - Raw total energy: -7.74 eV/atom
data_MnFe2SnN
_chemical_formula_sum 'Mn1 Fe2 Sn1 N1'
_cell_length_a 3.916
_cell_length_b 3.916
_cell_length_c 3.912
_cell_angle_alpha 90.00
_cell_angle_beta 90.00
_cell_angle_gamma 90.00
_space_group_name_H-M_alt 'P 4/m m m'
_space_group_IT_number 123
_space_group_name_Hall '-P 4 2'
loop_
_atom_site_label
_atom_site_type_symbol
_atom_site_fract_x
_atom_site_fract_y
_atom_site_fract_z
Mn1 Mn 0.000 0.000 0.000
Fe1 Fe 0.000 0.500 0.500
Sn1 Sn 0.500 0.500 0.000
N1 N 0.000 0.000 0.500

=====

Entry 19:
# Sr8Mn2FeN8 PBE-GGA relaxed
# - Raw total energy: -6.32 eV/atom
data_Sr8Mn2FeN8
_chemical_formula_sum 'Sr16 Mn4 Fe2 N16'
_cell_length_a 18.872
_cell_length_b 5.332
_cell_length_c 7.561
_cell_angle_alpha 90.00
_cell_angle_beta 106.17
_cell_angle_gamma 90.00
_space_group_name_H-M_alt 'C 1 2/m 1'
_space_group_IT_number 12
_space_group_name_Hall '-C 2y'
loop_
_atom_site_label
_atom_site_type_symbol
_atom_site_fract_x
_atom_site_fract_y
_atom_site_fract_z
Sr1 Sr 0.029 0.000 0.260
Sr2 Sr 0.096 0.500 0.965
Sr3 Sr 0.167 0.500 0.467
Sr4 Sr 0.200 0.000 0.806
Mn1 Mn 0.188 0.000 0.206
Fe1 Fe 0.000 0.500 0.500
N1 N 0.025 0.500 0.282
N2 N 0.108 0.000 0.015
N3 N 0.178 0.000 0.426
N4 N 0.224 0.500 0.828

=====

Entry 20:
# TiMnFe2N PBE-GGA relaxed
# - Raw total energy: -7.07 eV/atom
data_TiMnFe2N
_chemical_formula_sum 'Ti1 Mn1 Fe2 N1'
_cell_length_a 4.492
_cell_length_b 4.492
_cell_length_c 3.728
_cell_angle_alpha 90.00
_cell_angle_beta 90.00
_cell_angle_gamma 90.00
_space_group_name_H-M_alt 'P 4/m m m'
_space_group_IT_number 123
_space_group_name_Hall '-P 4 2'
loop_
_atom_site_label
_atom_site_type_symbol
_atom_site_fract_x
_atom_site_fract_y
_atom_site_fract_z
Ti1 Ti 0.000 0.000 0.000
Mn1 Mn 0.500 0.500 0.500
Fe1 Fe 0.000 0.500 0.000
N1 N 0.000 0.000 0.500

=====

Entry 21:
# Mn2FeWN PBE-GGA relaxed
# - Raw total energy: -9.64 eV/atom
data_Mn2FeWN
_chemical_formula_sum 'Mn2 Fe1 W1 N1'
_cell_length_a 3.754
_cell_length_b 3.754
_cell_length_c 4.063
_cell_angle_alpha 90.00
_cell_angle_beta 90.00
_cell_angle_gamma 90.00
_space_group_name_H-M_alt 'P 4/m m m'
_space_group_IT_number 123
_space_group_name_Hall '-P 4 2'
loop_
_atom_site_label
_atom_site_type_symbol
_atom_site_fract_x
_atom_site_fract_y
_atom_site_fract_z
Mn1 Mn 0.000 0.500 0.000
Fe1 Fe 0.000 0.000 0.500
W1 W 0.500 0.500 0.500
N1 N 0.500 0.500 0.000

=====

Entry 22:
# Mn2ZnFeN PBE-GGA relaxed
# - Raw total energy: -7.45 eV/atom
data_Mn2ZnFeN
_chemical_formula_sum 'Mn2 Zn1 Fe1 N1'
_cell_length_a 3.800
_cell_length_b 3.800
_cell_length_c 3.783
_cell_angle_alpha 90.00
_cell_angle_beta 90.00
_cell_angle_gamma 90.00
_space_group_name_H-M_alt 'P 4/m m m'
_space_group_IT_number 123
_space_group_name_Hall '-P 4 2'
loop_
_atom_site_label
_atom_site_type_symbol
_atom_site_fract_x
_atom_site_fract_y
_atom_site_fract_z
Mn1 Mn 0.000 0.500 0.000
Zn1 Zn 0.000 0.000 0.500
Fe1 Fe 0.500 0.500 0.500
N1 N 0.500 0.500 0.000

=====

Entry 23:
# MnZnFeN PBE-GGA relaxed
# - Raw total energy: -6.90 eV/atom
data_MnZnFeN
_chemical_formula_sum 'Mn3 Zn3 Fe3 N3'
_cell_length_a 2.7873
_cell_length_b 2.7873
_cell_length_c 19.1699
_cell_angle_alpha 90.00
_cell_angle_beta 90.00
_cell_angle_gamma 120.00
_space_group_name_H-M_alt 'R 3 m'
_space_group_IT_number 160
_space_group_name_Hall 'R 3 -2"'
loop_
_atom_site_label
_atom_site_type_symbol
_atom_site_fract_x
_atom_site_fract_y
_atom_site_fract_z
Mn1 Mn 0.0000 0.0000 0.0000
Zn1 Zn 0.0000 0.0000 0.5553
Fe1 Fe 0.0000 0.0000 0.7790
N1 N 0.0000 0.0000 0.3889

=====

Entry 24:
# NaMnFe2 PBE-GGA relaxed
# - Formation energy from the elements: 4.1 eV per formula unit
# - Offset from the most stable computed form: 0.0000 eV/atom
data_NaMnFe2
_chemical_formula_sum 'Na4 Mn4 Fe8'
_cell_length_a 5.755
_cell_length_b 5.755
_cell_length_c 5.755
_cell_angle_alpha 90.00
_cell_angle_beta 90.00
_cell_angle_gamma 90.00
_space_group_name_H-M_alt 'F m -3 m'
_space_group_IT_number 225
_space_group_name_Hall '-F 4 2 3'
loop_
_atom_site_label
_atom_site_type_symbol
_atom_site_fract_x
_atom_site_fract_y
_atom_site_fract_z
Na1 Na 0.000 0.000 0.000
Mn1 Mn 0.000 0.000 0.500
Fe1 Fe 0.250 0.250 0.250

=====

Entry 25:
# NaMn2Fe PBE-GGA relaxed
# - Formation energy from the elements: 4.1 eV per formula unit
data_NaMn2Fe
_chemical_formula_sum 'Na4 Mn8 Fe4'
_cell_length_a 6.882
_cell_length_b 6.882
_cell_length_c 5.385
_cell_angle_alpha 90.00
_cell_angle_beta 90.00
_cell_angle_gamma 90.00
_space_group_name_H-M_alt 'I -4 2 d'
_space_group_IT_number 122
_space_group_name_Hall 'I -4 2bw'
loop_
_atom_site_label
_atom_site_type_symbol
_atom_site_fract_x
_atom_site_fract_y
_atom_site_fract_z
Na1 Na 0.000 0.000 0.000
Mn1 Mn 0.192 0.750 0.625
Fe1 Fe 0.000 0.000 0.500

=====

Entry 26:
# NaMnFe2 PBE-GGA relaxed
# - Formation energy from the elements: 4.4 eV per formula unit
# - Offset from the most stable computed form: 0.0664 eV/atom
data_NaMnFe2
_chemical_formula_sum 'Na4 Mn4 Fe8'
_cell_length_a 6.522
_cell_length_b 6.522
_cell_length_c 5.257
_cell_angle_alpha 90.00
_cell_angle_beta 90.00
_cell_angle_gamma 90.00
_space_group_name_H-M_alt 'I -4 2 d'
_space_group_IT_number 122
_space_group_name_Hall 'I -4 2bw'
loop_
_atom_site_label
_atom_site_type_symbol
_atom_site_fract_x
_atom_site_fract_y
_atom_site_fract_z
Na1 Na 0.000 0.000 0.000
Mn1 Mn 0.000 0.000 0.500
Fe1 Fe 0.187 0.250 0.625